Model w:
An optimized crystal structure of CoIrRh2, computed with PBEsol.

Calculated values
Total magnetic moment   0.38 μB/atom
Crystal system   tetragonal
DOS at the Fermi energy   4.63 states/eV/f.u.

```
data_CoIrRh2
_chemical_formula_sum 'Co1 Ir1 Rh2'
_symmetry_space_group_name_H-M 'P 4 m m'
_symmetry_Int_Tables_number 99
_cell_length_a 2.657
_cell_length_b 2.657
_cell_length_c 7.281
_cell_angle_alpha 90.00
_cell_angle_beta 90.00
_cell_angle_gamma 90.00
loop_
_symmetry_equiv_pos_as_xyz
'x,y,z'
'-y,x,z'
'-x,-y,z'
'y,-x,z'
'-x,y,z'
'y,x,z'
'x,-y,z'
'-y,-x,z'
loop_
_atom_site_label
_atom_site_fract_x
_atom_site_fract_y
_atom_site_fract_z
_atom_site_occupancy
Co1 0.000 0.000 0.000 1
Ir1 0.500 0.500 0.239 1
Rh1 0.000 0.000 0.500 1
Rh2 0.500 0.500 0.762 1
```


Model x:
An optimized crystal structure of CoIrRh2, computed with PBEsol.

Calculated values
Total magnetic moment   0.37 μB/atom
Crystal system   orthorhombic
DOS at the Fermi energy   5.18 states/eV/f.u.

```
data_CoIrRh2
_chemical_formula_sum 'Co1 Ir1 Rh2'
_symmetry_space_group_name_H-M 'P m m 2'
_symmetry_Int_Tables_number 25
_cell_length_a 2.652
_cell_length_b 3.680
_cell_length_c 5.282
_cell_angle_alpha 90.00
_cell_angle_beta 90.00
_cell_angle_gamma 90.00
loop_
_symmetry_equiv_pos_as_xyz
'x,y,z'
'-x,-y,z'
'-x,y,z'
'x,-y,z'
loop_
_atom_site_label
_atom_site_fract_x
_atom_site_fract_y
_atom_site_fract_z
_atom_site_occupancy
Co1 0.000 0.000 0.000 1
Ir1 0.500 0.500 0.240 1
Rh1 0.000 0.000 0.497 1
Rh2 0.500 0.500 0.755 1
```


Model y:
An optimized crystal structure of CoIrRh2, computed with PBEsol.

Calculated values
Total magnetic moment   0.48 μB/atom
Crystal system   trigonal
DOS at the Fermi energy   4.77 states/eV/f.u.

```
data_CoIrRh2
_chemical_formula_sum 'Co3 Ir3 Rh6'
_symmetry_space_group_name_H-M 'R -3 m'
_symmetry_Int_Tables_number 166
_symmetry_space_group_name_Hall '-R 3 2"'
_cell_length_a 2.6539
_cell_length_b 2.6539
_cell_length_c 25.5264
_cell_angle_alpha 90.00
_cell_angle_beta 90.00
_cell_angle_gamma 120.00
loop_
_atom_site_label
_atom_site_fract_x
_atom_site_fract_y
_atom_site_fract_z
_atom_site_occupancy
Co1 0.0000 0.0000 0.0000 1
Ir1 0.0000 0.0000 0.5000 1
Rh1 0.0000 0.0000 0.2535 1
```


Energies, relative to the best one, in meV/atom: model w 0; model x 8; model y 24.


Model w:
An optimized crystal structure of CoIrRh2, computed with PBEsol.

Calculated values
Total magnetic moment   0.44 μB/atom
Crystal system   monoclinic
DOS at the Fermi energy   4.94 states/eV/f.u.

```
data_CoIrRh2
_chemical_formula_sum 'Co2 Ir2 Rh4'
_symmetry_space_group_name_H-M 'C 1 m 1'
_symmetry_Int_Tables_number 8
_cell_length_a 8.696
_cell_length_b 2.653
_cell_length_c 4.561
_cell_angle_alpha 90.00
_cell_angle_beta 100.55
_cell_angle_gamma 90.00
loop_
_symmetry_equiv_pos_as_xyz
'x,y,z'
'x,-y,z'
'x+1/2,y+1/2,z'
'x+1/2,-y+1/2,z'
loop_
_atom_site_label
_atom_site_fract_x
_atom_site_fract_y
_atom_site_fract_z
_atom_site_occupancy
Co1 0.000 0.000 0.000 1
Ir1 0.255 0.000 0.754 1
Rh1 0.003 0.500 0.504 1
Rh2 0.248 0.500 0.243 1
```


Model x:
An optimized crystal structure of CoIrRh2, computed with PBEsol.

Calculated values
Total magnetic moment   0.58 μB/atom
Crystal system   orthorhombic
DOS at the Fermi energy   6.01 states/eV/f.u.

```
data_CoIrRh2
_chemical_formula_sum 'Co2 Ir2 Rh4'
_symmetry_space_group_name_H-M 'C m m m'
_symmetry_Int_Tables_number 65
_symmetry_space_group_name_Hall '-C 2 2'
_cell_length_a 5.263
_cell_length_b 7.464
_cell_length_c 2.650
_cell_angle_alpha 90.00
_cell_angle_beta 90.00
_cell_angle_gamma 90.00
loop_
_atom_site_label
_atom_site_fract_x
_atom_site_fract_y
_atom_site_fract_z
_atom_site_occupancy
Co1 0.000 0.000 0.000 1
Ir1 0.000 0.500 0.000 1
Rh1 0.250 0.250 0.500 1
```


Energies, relative to the best one, in meV/atom: model w 0; model x 18.


Model w:
An optimized crystal structure of CoSb2Ir, computed with PBEsol.

Calculated values
Total magnetic moment   0.29 μB/atom
Crystal system   cubic
DOS at the Fermi energy   6.21 states/eV/f.u.

```
data_CoSb2Ir
_chemical_formula_sum 'Co4 Sb8 Ir4'
_symmetry_space_group_name_H-M 'F m -3 m'
_symmetry_Int_Tables_number 225
_symmetry_space_group_name_Hall '-F 4 2 3'
_cell_length_a 6.477
_cell_length_b 6.477
_cell_length_c 6.477
_cell_angle_alpha 90.00
_cell_angle_beta 90.00
_cell_angle_gamma 90.00
loop_
_atom_site_label
_atom_site_fract_x
_atom_site_fract_y
_atom_site_fract_z
_atom_site_occupancy
Co1 0.000 0.000 0.000 1
Sb1 0.250 0.250 0.250 1
Ir1 0.000 0.000 0.500 1
```


Model x:
An optimized crystal structure of CoSb2Ir, computed with PBEsol.

Calculated values
Total magnetic moment   0.00 μB/atom
Crystal system   trigonal
DOS at the Fermi energy   2.14 states/eV/f.u.

```
data_CoSb2Ir
_chemical_formula_sum 'Co1 Sb2 Ir1'
_symmetry_space_group_name_H-M 'P -3 m 1'
_symmetry_Int_Tables_number 164
_symmetry_space_group_name_Hall '-P 3 2"'
_cell_length_a 3.9336
_cell_length_b 3.9336
_cell_length_c 5.2926
_cell_angle_alpha 90.00
_cell_angle_beta 90.00
_cell_angle_gamma 120.00
loop_
_atom_site_label
_atom_site_fract_x
_atom_site_fract_y
_atom_site_fract_z
_atom_site_occupancy
Co1 0.0000 0.0000 0.0000 1
Sb1 0.3333 0.6667 0.7667 1
Ir1 0.0000 0.0000 0.5000 1
```


Energies, relative to the best one, in meV/atom: model w 484; model x 0.


Model w:
An optimized crystal structure of ScCoIr, computed with PBEsol.

Calculated values
Total magnetic moment   0.67 μB/atom
Crystal system   orthorhombic
DOS at the Fermi energy   3.22 states/eV/f.u.

```
data_ScCoIr
_chemical_formula_sum 'Sc2 Co2 Ir2'
_symmetry_space_group_name_H-M 'I m m 2'
_symmetry_Int_Tables_number 44
_cell_length_a 2.901
_cell_length_b 3.542
_cell_length_c 8.581
_cell_angle_alpha 90.00
_cell_angle_beta 90.00
_cell_angle_gamma 90.00
loop_
_symmetry_equiv_pos_as_xyz
'x,y,z'
'-x,-y,z'
'-x,y,z'
'x,-y,z'
'x+1/2,y+1/2,z+1/2'
'-x+1/2,-y+1/2,z+1/2'
'-x+1/2,y+1/2,z+1/2'
'x+1/2,-y+1/2,z+1/2'
loop_
_atom_site_label
_atom_site_fract_x
_atom_site_fract_y
_atom_site_fract_z
_atom_site_occupancy
Sc1 0.000 0.000 0.000 1
Co1 0.000 0.000 0.682 1
Ir1 0.000 0.000 0.321 1
```


Model x:
An optimized crystal structure of ScCoIr, computed with PBEsol.

Calculated values
Total magnetic moment   0.45 μB/atom
Crystal system   tetragonal
DOS at the Fermi energy   2.88 states/eV/f.u.

```
data_ScCoIr
_chemical_formula_sum 'Sc2 Co2 Ir2'
_symmetry_space_group_name_H-M 'I 4 m m'
_symmetry_Int_Tables_number 107
_symmetry_space_group_name_Hall 'I 4 -2'
_cell_length_a 2.818
_cell_length_b 2.818
_cell_length_c 10.997
_cell_angle_alpha 90.00
_cell_angle_beta 90.00
_cell_angle_gamma 90.00
loop_
_atom_site_label
_atom_site_fract_x
_atom_site_fract_y
_atom_site_fract_z
_atom_site_occupancy
Sc1 0.000 0.000 0.000 1
Co1 0.000 0.000 0.677 1
Ir1 0.000 0.000 0.317 1
```


Energies, relative to the best one, in meV/atom: model w 0; model x 25.